A plane-wave DFT calculation with PBE was carried out for an optimized crystal structure of CsCuOF2.

Cell: 4.5781 4.5781 3.6917 Å, 90.00 90.00 90.00°
With the nearest neighbours (Å) after each atom.
Sites, in units of the cell vectors:
Cs (0.0000, 0.0000, 0.0000)  8 F 2.94, 4 O 3.24
Cu (0.5000, 0.5000, 0.5000)  2 O 1.85
O (0.5000, 0.5000, 0.0000)  2 Cu 1.85
F (0.0000, 0.5000, 0.5000)  2 Cu 2.29
F (0.5000, 0.0000, 0.5000)  2 Cu 2.29

Summary:
**Magnetization**: 1.319 μB/f.u.
**N(E_F)**: 3.3 states/eV/f.u.
**VASP energy**: -4.166 eV/atom